(1)
## Er3Ge4Ir2 (PBE)

Data for a relaxed structure of Er3Ge4Ir2.

Structure (CIF):
```
data_Er3Ge4Ir2
_symmetry_space_group_name_H-M 'C 1 2/m 1'
_symmetry_Int_Tables_number 12
_cell_length_a 10.696
_cell_length_b 4.291
_cell_length_c 8.152
_cell_angle_alpha 90.00
_cell_angle_beta 109.21
_cell_angle_gamma 90.00
loop_
_symmetry_equiv_pos_as_xyz
'x,y,z'
'-x,-y,-z'
'-x,y,-z'
'x,-y,z'
'x+1/2,y+1/2,z'
'-x+1/2,-y+1/2,-z'
'-x+1/2,y+1/2,-z'
'x+1/2,-y+1/2,z'
loop_
_atom_site_label
_atom_site_fract_x
_atom_site_fract_y
_atom_site_fract_z
_atom_site_occupancy
Er1 0.000 0.000 0.000 1
Er2 0.126 0.500 0.697 1
Ge1 0.084 0.000 0.397 1
Ge2 0.208 0.500 0.073 1
Ir1 0.187 0.500 0.367 1
```

Crystal system = monoclinic
VASP energy = -6.3619 eV/atom

=====

(2)
## Er3Ge2Ir (PBE)

Data for a relaxed structure of Er3Ge2Ir.

Structure (CIF):
```
data_Er3Ge2Ir
_symmetry_space_group_name_H-M 'P n m a'
_symmetry_Int_Tables_number 62
_cell_length_a 11.635
_cell_length_b 4.204
_cell_length_c 11.128
_cell_angle_alpha 90.00
_cell_angle_beta 90.00
_cell_angle_gamma 90.00
loop_
_symmetry_equiv_pos_as_xyz
'x,y,z'
'-x,-y,-z'
'-x+1/2,-y,z+1/2'
'x+1/2,y,-z+1/2'
'x+1/2,-y+1/2,-z+1/2'
'-x+1/2,y+1/2,z+1/2'
'-x,y+1/2,-z'
'x,-y+1/2,z'
loop_
_atom_site_label
_atom_site_fract_x
_atom_site_fract_y
_atom_site_fract_z
_atom_site_occupancy
Er1 0.054 0.250 0.128 1
Er2 0.121 0.750 0.554 1
Er3 0.226 0.250 0.798 1
Ge1 0.006 0.750 0.310 1
Ge2 0.187 0.750 0.004 1
Ir1 0.130 0.250 0.372 1
```

Crystal system = orthorhombic
VASP energy = -6.1730 eV/atom